No. 1
CuMo | Alexandria | PBE-GGA | relaxed; size of the total moment = 0.00 μB per formula unit; formation enthalpy at 0 K = 1697 meV per atom; D(E_F) = 2.285 states/eV/f.u.
1.0
-7.7191 0.5874 0.8423
0.7488 -1.1509 7.6650
0.7026 7.6791 1.0844
Cu Mo
8 8
Cartesian
-1.2453 1.4137 1.9057 Cu
-0.3706 5.3479 7.1784 Cu
-5.4736 6.3954 3.0667 Cu
-5.4458 1.0741 7.0325 Cu
-4.3791 4.9715 6.7015 Cu
-4.9558 2.3775 3.2248 Cu
-1.5910 1.6867 5.9360 Cu
-1.6094 5.1954 3.3211 Cu
-2.4197 2.7470 3.7030 Mo
-2.0889 4.2347 5.6968 Mo
-4.0186 4.6308 4.1420 Mo
-4.0080 2.6186 5.6416 Mo
-5.5535 6.3048 8.4988 Mo
-6.6742 1.2642 1.7432 Mo
-0.1360 -0.0779 7.0112 Mo
-0.1716 6.7400 1.9301 Mo



No. 2
CuMo3 | Alexandria | PBE-GGA | relaxed; size of the total moment = 0.00 μB per formula unit; formation enthalpy at 0 K = 375 meV per atom; D(E_F) = 3.922 states/eV/f.u.
1.0
2.7298 0.0000 0.0000
-1.3649 9.5401 0.0050
-1.3649 -0.1965 2.3559
Cu Mo
1 3
Cartesian
0.0000 0.0000 0.0000 Cu
0.0000 7.2020 0.6008 Mo
-1.3649 4.6718 1.1805 Mo
0.0000 2.1416 1.7602 Mo



No. 3
CuMo2N2 | Alexandria | PBE-GGA | relaxed; size of the total moment = 0.00 μB per formula unit; formation energy (no corrections) = 26.20 kJ per mole of atoms; excess energy over the best structure of this formula in the dataset = 0.0 kJ/mol of formula units; D(E_F) = 2.899 states/eV/f.u.
1.0
-0.5114 2.2299 -3.2461
-3.8613 -0.9278 -0.0291
-2.9732 3.8529 0.6859
Mo Cu N
2 1 2
Cartesian
-2.8355 3.3669 -2.0989 Mo
-4.5105 1.7881 -0.4904 Mo
0.0000 0.0000 0.0000 Cu
-2.4706 1.8077 -0.7983 N
-4.8754 3.3473 -1.7910 N



No. 4
CuMoN3 | Alexandria | PBE-GGA | relaxed; size of the total moment = 0.00 μB per formula unit; formation energy (no corrections) = 96.78 kJ per mole of atoms; D(E_F) = 5.152 states/eV/f.u.
1.0
-3.5888 -1.1597 1.1090
-0.7434 -1.2062 -3.6670
1.4220 -3.5573 0.8818
Mo Cu N
1 1 3
Cartesian
0.0000 0.0000 0.0000 Mo
-1.4551 -2.9616 -0.8381 Cu
-0.3717 -0.6031 -1.8335 N
0.7110 -1.7787 0.4409 N
-1.7944 -0.5798 0.5545 N



No. 5
CuMoN | Alexandria | PBE-GGA | relaxed; size of the total moment = 0.00 μB per formula unit; formation energy (no corrections) = 16.10 kJ per mole of atoms; D(E_F) = 1.694 states/eV/f.u.
1.0
-0.7992 1.3291 2.4614
-2.6937 0.3247 -1.0499
-2.3278 -7.9227 3.5224
Mo N Cu
2 2 2
Cartesian
-2.7698 -4.6806 1.6282 Mo
-1.3045 -2.4151 2.5999 Mo
-1.9169 -4.4994 3.5266 N
-2.1574 -2.5964 0.7015 N
-3.4919 -7.1383 2.7208 Cu
-0.5824 0.0425 1.5073 Cu



No. 6
Cu2Mo2N | Alexandria | PBE-GGA | relaxed; size of the total moment = 0.00 μB per formula unit; formation energy (no corrections) = 12.72 kJ per mole of atoms; D(E_F) = 2.926 states/eV/f.u.
1.0
5.4908 0.0000 0.0000
0.0000 5.4908 0.0000
0.0000 0.0000 4.4897
Mo Cu N
4 4 2
Cartesian
1.7835 4.5289 0.0000 Mo
4.5289 3.7074 0.0000 Mo
3.7074 0.9620 0.0000 Mo
0.9620 1.7835 0.0000 Mo
0.8382 3.5836 2.2449 Cu
3.5836 4.6526 2.2449 Cu
4.6526 1.9072 2.2449 Cu
1.9072 0.8382 2.2449 Cu
0.0000 0.0000 0.0000 N
2.7454 2.7454 0.0000 N



No. 7
Cu3MoN | Alexandria | PBE-GGA | relaxed; size of the total moment = 0.00 μB per formula unit; formation energy (no corrections) = 74.85 kJ per mole of atoms; excess energy over the best structure of this formula in the dataset = 0.0 kJ/mol of formula units; D(E_F) = 3.807 states/eV/f.u.
1.0
3.9083 0.0000 0.0000
0.0000 3.9083 0.0000
0.0000 0.0000 3.9083
Mo Cu N
1 3 1
Cartesian
1.9541 1.9541 1.9541 Mo
0.0000 1.9541 0.0000 Cu
0.0000 0.0000 1.9541 Cu
1.9541 0.0000 0.0000 Cu
0.0000 0.0000 0.0000 N



No. 8
CuMoN2 | Alexandria | PBE-GGA | relaxed; size of the total moment = 0.00 μB per formula unit; formation energy (no corrections) = 3.32 kJ per mole of atoms; excess energy over the best structure of this formula in the dataset = 7.2 kJ/mol of formula units; D(E_F) = 1.670 states/eV/f.u.
1.0
1.7080 0.0000 6.1102
-0.8540 1.4792 6.1102
-0.8540 -1.4792 6.1102
Mo Cu N
1 1 2
Cartesian
0.0000 0.0000 9.1654 Mo
0.0000 0.0000 0.0000 Cu
0.0000 0.0000 16.4719 N
0.0000 0.0000 1.8588 N